1.
VASP calculation (PBE) on an optimized crystal structure of Sr2InHPd6.

## Properties
The value obtained for the total energy is -4.574 eV per atom. Its theoretical density is 8.069 g/cm3. The calculation puts the total moment at 0.00 Bohr magnetons per cell.

Lattice parameters (Å, degrees): 5.9102 7.2011 5.9077 65.58 59.99 90.01
Last column: nearest neighbours and their distance in Å.
Sites, in units of the cell vectors:
Sr: 0.2735 0.8188 0.4530  6 Pd 3.09-3.10
Pd: 0.2740 0.3277 0.9483  1 H 2.03
Pd: 0.2750 0.3289 0.4501  1 H 2.03
Pd: 0.7260 0.6723 0.0517  1 H 2.03
H: 0.5000 0.5000 0.0000  6 Pd 2.03
Pd: 0.7250 0.6711 0.5499  1 H 2.03
Sr: 0.7265 0.1812 0.5470  6 Pd 3.09-3.10
In: 0.0000 0.0000 0.0000  6 Pd 2.68
Pd: 0.7780 0.3279 0.9481  1 H 2.03
Pd: 0.2219 0.6721 0.0519  1 H 2.03

2.
VASP calculation (PBE) on an optimized crystal structure of Sr2CaPb6.

## Properties
As for the formation energy: -0.31 eV/atom. Its theoretical density is 7.859 g/cm3. The calculation puts the total moment at 0.00 Bohr magnetons per cell.

Lattice parameters (Å, degrees): 6.6071 7.3388 7.3388 120.00 90.00 90.00
Last column: nearest neighbours and their distance in Å.
Sites, in units of the cell vectors:
Pb: 0.1719 0.1847 0.8153  1 Ca 3.20, 4 Pb 3.27
Ca: 0.5000 0.0000 0.0000  6 Pb 3.20
Pb: 0.8281 0.3693 0.1847  1 Ca 3.20, 4 Pb 3.27
Pb: 0.1719 0.6307 0.8153  1 Ca 3.20, 4 Pb 3.27
Pb: 0.8281 0.8153 0.1847  1 Ca 3.20, 4 Pb 3.27
Pb: 0.8281 0.8153 0.6307  1 Ca 3.20, 4 Pb 3.27
Sr: 0.3179 0.6667 0.3333  12 Pb 3.75-3.86
Sr: 0.6821 0.3333 0.6667  12 Pb 3.75-3.86
Pb: 0.1719 0.1847 0.3693  1 Ca 3.20, 4 Pb 3.27

3.
VASP calculation (PBE) on an optimized crystal structure of Tm5Th4Mg.

## Properties
As for the formation energy: 0.01 eV/atom. Its theoretical density is 9.822 g/cm3. The calculation puts the total moment at 0.00 Bohr magnetons per cell.

Lattice parameters (Å, degrees): 3.5675 3.5675 23.8724 90.00 90.00 90.00
Last column: nearest neighbours and their distance in Å.
Sites, in units of the cell vectors:
Tm: 0.5000 0.5000 0.7064  8 Th 3.53, 4 Tm 3.57
Th: 0.0000 0.0000 0.3969  8 Tm 3.52-3.53, 4 Th 3.57
Tm: 0.5000 0.5000 0.0904  4 Mg 3.32, 4 Th 3.46, 4 Tm 3.57
Th: 0.0000 0.0000 0.8101  8 Tm 3.46-3.53, 4 Th 3.57
Tm: 0.5000 0.5000 0.9096  4 Mg 3.32, 4 Th 3.46, 4 Tm 3.57
Tm: 0.5000 0.5000 0.2936  8 Th 3.53, 4 Tm 3.57
Th: 0.0000 0.0000 0.1899  8 Tm 3.46-3.53, 4 Th 3.57
Tm: 0.5000 0.5000 0.5000  8 Th 3.52, 4 Tm 3.57
Mg: 0.0000 0.0000 0.0000  8 Tm 3.32, 4 Mg 3.57
Th: 0.0000 0.0000 0.6031  8 Tm 3.52-3.53, 4 Th 3.57

4.
VASP calculation (PBE) on an optimized crystal structure of BaTcIr.

## Properties
As for the formation energy: 0.39 eV/atom. Its theoretical density is 8.002 g/cm3. The calculation puts the total moment at 0.00 Bohr magnetons per cell.

Lattice parameters (Å, degrees): 6.8214 4.4182 11.7746 90.00 90.00 90.00
Last column: nearest neighbours and their distance in Å.
Sites, in units of the cell vectors:
Ba: 0.3537 0.2500 0.1450  4 Ir 3.31-3.48, 3 Tc 3.46-3.63
Ba: 0.1463 0.7500 0.6450  4 Ir 3.31-3.48, 3 Tc 3.46-3.63
Tc: 0.5590 0.2500 0.5940  3 Ir 2.40-2.46
Tc: 0.4410 0.7500 0.4060  3 Ir 2.40-2.46
Tc: 0.9410 0.7500 0.0940  3 Ir 2.40-2.46
Ba: 0.8537 0.2500 0.3550  4 Ir 3.31-3.48, 3 Tc 3.46-3.63
Ir: 0.6827 0.7500 0.5614  3 Tc 2.40-2.46
Tc: 0.0590 0.2500 0.9060  3 Ir 2.40-2.46
Ir: 0.3173 0.2500 0.4386  3 Tc 2.40-2.46
Ir: 0.8173 0.2500 0.0614  3 Tc 2.40-2.46
Ir: 0.1827 0.7500 0.9386  3 Tc 2.40-2.46
Ba: 0.6463 0.7500 0.8550  4 Ir 3.31-3.48, 3 Tc 3.46-3.63

5.
VASP calculation (PBE) on an optimized crystal structure of SrPdSe2N.

## Properties
The value obtained for the uncorrected formation energy is 1.239 eV per atom. Its theoretical density is 4.224 g/cm3. The calculation puts the total moment at 0.03 Bohr magnetons per cell.

Lattice parameters (Å, degrees): 5.7257 5.7257 4.3883 90.00 90.00 90.00
Last column: nearest neighbours and their distance in Å.
Sites, in units of the cell vectors:
Se: 0.0000 0.5000 0.0000  2 Sr 2.86
Se: 0.5000 0.0000 0.0000  2 Sr 2.86
Pd: 0.5000 0.5000 0.5000  8 Se 3.61
Sr: 0.0000 0.0000 0.0000  2 N 2.19
N: 0.0000 0.0000 0.5000  2 Sr 2.19

6.
VASP calculation (PBE) on an optimized crystal structure of ScInW.

## Properties
As for the formation energy: 0.29 eV/atom. Its theoretical density is 9.764 g/cm3. The calculation puts the total moment at 0.00 Bohr magnetons per cell.

Lattice parameters (Å, degrees): 4.8575 4.8575 2.8598 90.00 90.00 120.00
Last column: nearest neighbours and their distance in Å.
Sites, in units of the cell vectors:
W: 0.3333 0.6667 0.7072  2 W 2.86, 3 In 2.89, 3 Sc 2.99
Sc: 0.6667 0.3333 0.3409  2 Sc 2.86, 3 W 2.99, 3 In 3.02
In: 0.0000 0.0000 0.9519  2 In 2.86, 3 W 2.89, 3 Sc 3.02